(1)
This record from Alexandria describes a geometry-optimized NaHgBiPt structure. The functional is GGA-PBE.

```
4
Lattice="4.951 0.000 0.000 2.476 4.288 0.000 2.476 1.429 4.043" Properties=species:S:1:pos:R:3 pbc="T T T"
Bi 0.000 0.000 0.000
Hg 4.951 2.859 2.021
Na 2.476 1.429 1.011
Pt 7.427 4.288 3.032
```

Output
Its total energy is -3.0130 eV per atom. For the formation energy, the calculation gives -127 meV per atom.

=====

(2)
This record from Alexandria describes a geometry-optimized NaPuHg2Bi2 structure. The functional is GGA-PBE.

```
6
Lattice="4.928 0.000 0.000 2.464 4.268 0.000 2.464 1.423 11.253" Properties=species:S:1:pos:R:3 pbc="T T T"
Bi 2.464 1.423 1.549
Na 4.928 2.845 5.627
Pu 0.000 0.000 0.000
Bi 7.392 4.268 9.704
Hg 4.928 2.845 2.753
Hg 4.928 2.845 8.501
```

Output
Its total energy is -3.9823 eV per atom. For the formation energy, the calculation gives 20 meV per atom.

=====

(3)
This record from Alexandria describes a geometry-optimized NaPuHgBi structure. The functional is GGA-PBE.

```
4
Lattice="5.415 0.000 0.000 2.707 4.689 0.000 2.707 1.563 4.421" Properties=species:S:1:pos:R:3 pbc="T T T"
Hg 8.122 4.689 3.316
Pu 5.415 3.126 2.211
Bi 2.707 1.563 1.105
Na 0.000 0.000 0.000
```

Output
Its total energy is -5.2572 eV per atom. For the formation energy, the calculation gives -299 meV per atom.

=====

(4)
This record from Alexandria describes a geometry-optimized RbNaHgBi structure. The functional is GGA-PBE.

```
4
Lattice="-0.242 2.165 -5.287 3.703 -1.765 -3.984 -1.807 -3.253 -4.342" Properties=species:S:1:pos:R:3 pbc="T T T"
Bi 0.413 -0.713 -3.403
Na 0.827 -1.426 -6.806
Hg 0.000 0.000 0.000
Rb 1.240 -2.140 -10.210
```

Output
Its total energy is -1.8351 eV per atom. For the formation energy, the calculation gives -218 meV per atom.

=====

(5)
This record from Alexandria describes a geometry-optimized RbNaHg2Bi structure. The functional is GGA-PBE.

```
5
Lattice="6.045 0.000 0.000 0.000 6.045 0.000 0.000 0.000 5.895" Properties=species:S:1:pos:R:3 pbc="T T T"
Na 0.000 0.000 2.947
Bi 0.000 0.000 0.000
Rb 3.022 3.022 2.947
Hg 3.022 0.000 0.000
Hg 0.000 3.022 0.000
```

Output
Its total energy is -1.4636 eV per atom. For the formation energy, the calculation gives -109 meV per atom.

=====

(6)
This record from Alexandria describes a geometry-optimized RbNaHgBi2 structure. The functional is GGA-PBE.

```
5
Lattice="4.723 0.000 0.000 0.000 5.396 0.000 -2.362 -2.698 7.265" Properties=species:S:1:pos:R:3 pbc="T T T"
Rb 0.000 0.000 6.447
Na 0.000 2.698 2.607
Bi 0.000 0.000 0.796
Hg 2.362 2.698 4.859
Bi 2.362 0.000 2.903
```

Output
Its total energy is -2.3224 eV per atom. For the formation energy, the calculation gives -252 meV per atom.

=====

(7)
This record from Alexandria describes a geometry-optimized RbNaHg2Bi structure. The functional is GGA-PBE.

```
5
Lattice="-4.158 1.330 3.037 -2.983 -3.069 -2.741 4.930 -4.029 3.859" Properties=species:S:1:pos:R:3 pbc="T T T"
Hg 0.157 -0.567 0.463
Na -0.948 -3.492 0.231
Hg -1.567 -1.181 3.028
Bi -2.688 -4.050 2.749
Rb 1.200 -4.326 3.538
```

Output
Its total energy is -1.6158 eV per atom. For the formation energy, the calculation gives -262 meV per atom.

=====

(8)
This record from Alexandria describes a geometry-optimized RbNaHg3Bi structure. The functional is GGA-PBE.

```
12
Lattice="-6.605 -0.297 3.506 -2.245 -4.926 -4.646 3.750 -2.970 6.814" Properties=species:S:1:pos:R:3 pbc="T T T"
Hg -0.611 -1.342 -1.265
Hg -3.914 -1.490 0.487
Na -4.479 -1.204 3.441
Rb -3.297 -3.647 5.460
Hg -4.936 -3.733 -1.628
Hg -4.161 -6.645 3.579
Na -0.620 -6.989 2.233
Hg -1.633 -3.585 -3.381
Bi 0.225 -3.953 4.083
Rb -1.802 -4.546 0.214
Bi -5.324 -4.240 1.591
Hg -0.938 -1.548 2.095
```

Output
Its total energy is -1.3355 eV per atom. For the formation energy, the calculation gives -157 meV per atom.

=====

(9)
This record from Alexandria describes a geometry-optimized Rb2NaHgBi2 structure. The functional is GGA-PBE.

```
12
Lattice="-0.916 2.122 -7.059 -4.060 -6.196 -1.336 -4.639 6.236 6.384" Properties=species:S:1:pos:R:3 pbc="T T T"
Rb -2.598 1.922 -1.018
Rb -4.524 2.265 3.242
Na -1.015 -1.549 -0.334
Hg -1.473 -0.488 -3.864
Rb -5.091 -0.104 -5.253
Bi -7.506 -0.231 2.677
Bi -5.891 3.829 0.143
Rb -7.017 0.239 -0.992
Na -3.045 -4.647 -1.002
Bi -3.724 -1.668 -2.154
Bi -2.109 2.393 -4.687
Hg -3.503 -3.586 -4.531
```

Output
Its total energy is -2.1652 eV per atom. For the formation energy, the calculation gives -279 meV per atom.

=====

(10)
This record from Alexandria describes a geometry-optimized RbNaHg4Bi2 structure. The functional is GGA-PBE.

```
8
Lattice="-4.476 -2.670 0.788 -0.474 -3.176 4.181 -5.457 6.113 7.348" Properties=species:S:1:pos:R:3 pbc="T T T"
Bi -7.619 -0.194 8.960
Hg -3.994 -2.428 4.350
Bi -2.788 0.461 3.358
Hg -6.403 -2.769 7.141
Hg -6.413 2.696 7.967
Na -5.204 0.134 6.159
Hg -4.004 3.036 5.176
Rb 0.000 0.000 0.000
```

Output
Its total energy is -1.5793 eV per atom. For the formation energy, the calculation gives -172 meV per atom.

=====

(11)
This record from Alexandria describes a geometry-optimized Na2ReHgBi structure. The functional is GGA-PBE.

```
5
Lattice="-3.123 4.846 1.576 -3.906 -3.032 1.584 2.399 -0.233 5.469" Properties=species:S:1:pos:R:3 pbc="T T T"
Hg -2.315 0.791 4.315
Na -1.561 2.423 0.788
Bi -1.953 -1.516 0.792
Na 1.199 -0.116 2.735
Re 0.000 0.000 0.000
```

Output
Its total energy is -3.0324 eV per atom. For the formation energy, the calculation gives 821 meV per atom.

=====

(12)
This record from Alexandria describes a geometry-optimized NaHgBiRh structure. The functional is GGA-PBE.

```
4
Lattice="4.890 0.000 0.000 2.445 4.235 0.000 2.445 1.412 3.993" Properties=species:S:1:pos:R:3 pbc="T T T"
Rh 4.890 2.823 1.996
Hg 2.445 1.412 0.998
Na 0.000 0.000 0.000
Bi 7.335 4.235 2.995
```

Output
Its total energy is -3.2567 eV per atom. For the formation energy, the calculation gives -43 meV per atom.